VASP calculation (PBE-GGA) on crystalline TaMn6Al12 at its relaxed geometry.

Output
Space-group type: No. 204
E_tot, eV per atom: -5.96
Calculated formation energy, eV/f.u.: -1.444

Geometry as CIF:
```
data_TaMn6Al12
_space_group_name_H-M_alt 'P 1'
_space_group_IT_number 1
_space_group_name_Hall 'P 1'
_cell_length_a 7.132
_cell_length_b 7.132
_cell_length_c 7.132
_cell_angle_alpha 109.47
_cell_angle_beta 109.47
_cell_angle_gamma 109.47
loop_
_atom_site_label
_atom_site_type_symbol
_atom_site_fract_x
_atom_site_fract_y
_atom_site_fract_z
Al1 Al 0.091 0.816 0.276
Mn1 Mn 0.133 0.633 0.500
Al2 Al 0.724 0.540 0.816
Al3 Al 0.816 0.276 0.091
Mn2 Mn 0.633 0.500 0.133
Al4 Al 0.184 0.724 0.909
Al5 Al 0.724 0.909 0.184
Al6 Al 0.540 0.816 0.724
Mn3 Mn 0.500 0.133 0.633
Al7 Al 0.276 0.460 0.184
Al8 Al 0.460 0.184 0.276
Mn4 Mn 0.367 0.500 0.867
Al9 Al 0.909 0.184 0.724
Ta1 Ta 0.000 0.000 0.000
Al10 Al 0.816 0.724 0.540
Mn5 Mn 0.500 0.867 0.367
Al11 Al 0.184 0.276 0.460
Mn6 Mn 0.867 0.367 0.500
Al12 Al 0.276 0.091 0.816
```

***

VASP calculation (PBE-GGA) on crystalline LaMn2Au at its relaxed geometry.

Output
Space-group type: No. 122
E_tot, eV per atom: -5.82
Calculated formation energy, eV/f.u.: 3.257

Geometry as CIF:
```
data_LaMn2Au
_space_group_name_H-M_alt 'P 1'
_space_group_IT_number 1
_space_group_name_Hall 'P 1'
_cell_length_a 4.103
_cell_length_b 4.103
_cell_length_c 9.926
_cell_angle_alpha 78.07
_cell_angle_beta 78.07
_cell_angle_gamma 90.00
loop_
_atom_site_label
_atom_site_type_symbol
_atom_site_fract_x
_atom_site_fract_y
_atom_site_fract_z
Mn1 Mn 0.875 0.774 0.750
La1 La 0.500 0.500 0.000
Au1 Au 0.750 0.250 0.500
La2 La 0.250 0.750 0.500
Mn2 Mn 0.375 0.476 0.750
Au2 Au 0.000 0.000 0.000
Mn3 Mn 0.524 0.125 0.250
Mn4 Mn 0.226 0.625 0.250
```

***

VASP calculation (PBE-GGA) on crystalline CsTlSbPd2 at its relaxed geometry.

Output
Space-group type: No. 11
E_tot, eV per atom: -3.83
Uncorrected formation energy, eV per atom: -0.2860

Geometry as CIF:
```
data_CsTlSbPd2
_space_group_name_H-M_alt 'P 1'
_space_group_IT_number 1
_space_group_name_Hall 'P 1'
_cell_length_a 4.760
_cell_length_b 8.434
_cell_length_c 9.137
_cell_angle_alpha 110.63
_cell_angle_beta 90.00
_cell_angle_gamma 90.00
loop_
_atom_site_label
_atom_site_type_symbol
_atom_site_fract_x
_atom_site_fract_y
_atom_site_fract_z
Tl1 Tl 0.750 0.690 0.391
Sb1 Sb 0.250 0.361 0.126
Pd1 Pd 0.250 0.534 0.932
Pd2 Pd 0.750 0.476 0.575
Cs1 Cs 0.750 0.056 0.787
Pd3 Pd 0.750 0.466 0.068
Pd4 Pd 0.250 0.524 0.425
Cs2 Cs 0.250 0.944 0.213
Tl2 Tl 0.250 0.310 0.609
Sb2 Sb 0.750 0.639 0.874
```

***

VASP calculation (PBE-GGA) on crystalline NiSbAsBr2 at its relaxed geometry.

Output
Energy above the most stable polymorph in this dataset, eV/atom: 0.597
Space-group type: No. 123
E_tot, eV per atom: -2.75
Uncorrected formation energy, eV per atom: 0.8340

Geometry as CIF:
```
data_NiSbAsBr2
_space_group_name_H-M_alt 'P 1'
_space_group_IT_number 1
_space_group_name_Hall 'P 1'
_cell_length_a 5.500
_cell_length_b 5.500
_cell_length_c 5.513
_cell_angle_alpha 90.00
_cell_angle_beta 90.00
_cell_angle_gamma 90.00
loop_
_atom_site_label
_atom_site_type_symbol
_atom_site_fract_x
_atom_site_fract_y
_atom_site_fract_z
Br1 Br 0.500 0.000 0.000
Br2 Br 0.000 0.500 0.000
Sb1 Sb 0.000 0.000 0.000
As1 As 0.000 0.000 0.500
Ni1 Ni 0.500 0.500 0.500
```

***

Question: The lowest E_tot belongs to which entry?
Answer: TaMn6Al12

***

Copy entry 2 word for word.
VASP calculation (PBE-GGA) on crystalline LaMn2Au at its relaxed geometry.

Output
Space-group type: No. 122
E_tot, eV per atom: -5.82
Calculated formation energy, eV/f.u.: 3.257

Geometry as CIF:
```
data_LaMn2Au
_space_group_name_H-M_alt 'P 1'
_space_group_IT_number 1
_space_group_name_Hall 'P 1'
_cell_length_a 4.103
_cell_length_b 4.103
_cell_length_c 9.926
_cell_angle_alpha 78.07
_cell_angle_beta 78.07
_cell_angle_gamma 90.00
loop_
_atom_site_label
_atom_site_type_symbol
_atom_site_fract_x
_atom_site_fract_y
_atom_site_fract_z
Mn1 Mn 0.875 0.774 0.750
La1 La 0.500 0.500 0.000
Au1 Au 0.750 0.250 0.500
La2 La 0.250 0.750 0.500
Mn2 Mn 0.375 0.476 0.750
Au2 Au 0.000 0.000 0.000
Mn3 Mn 0.524 0.125 0.250
Mn4 Mn 0.226 0.625 0.250
```

***

Question: Among the records above, which one has the highest E_tot?
Answer: NiSbAsBr2

***

Question: The highest E_tot belongs to which entry?
Answer: NiSbAsBr2